Record 1
! PuZrNpGa, relaxed, DFT PBE; values from VASP
! * total DFT energy (no corrections): -9.6316 eV per atom
&SYSTEM
  ibrav = 0, nat = 4, ntyp = 4
/
ATOMIC_SPECIES
Pu 244.00 Pu.upf
Zr 91.22 Zr.upf
Np 237.00 Np.upf
Ga 69.72 Ga.upf
CELL_PARAMETERS angstrom
0.000 3.498 3.498
3.498 0.000 3.498
3.498 3.498 0.000
ATOMIC_POSITIONS angstrom
Pu 0.000 0.000 0.000
Zr 3.498 3.498 3.498
Np 5.247 5.247 5.247
Ga 1.749 1.749 1.749

***

Record 2
! NbIn2Ga2, relaxed, DFT PBE; values from VASP
! * total DFT energy (no corrections): -4.1700 eV per atom
&SYSTEM
  ibrav = 0, nat = 10, ntyp = 3
/
ATOMIC_SPECIES
Nb 92.91 Nb.upf
In 114.82 In.upf
Ga 69.72 Ga.upf
CELL_PARAMETERS angstrom
7.176 0.000 0.000
0.000 7.176 0.000
0.000 0.000 3.906
ATOMIC_POSITIONS angstrom
Nb 0.000 0.000 0.000
Nb 3.588 3.588 0.000
In 1.180 2.408 1.953
In 2.408 5.996 1.953
In 4.769 1.180 1.953
In 5.996 4.769 1.953
Ga 1.008 4.596 0.000
Ga 2.580 1.008 0.000
Ga 4.596 6.168 0.000
Ga 6.168 2.580 0.000

***

Record 3
! MnBe2Zn, relaxed, DFT PBE; values from VASP
! * total DFT energy (no corrections): -4.3630 eV per atom
&SYSTEM
  ibrav = 0, nat = 4, ntyp = 3
/
ATOMIC_SPECIES
Mn 54.94 Mn.upf
Be 9.01 Be.upf
Zn 65.41 Zn.upf
CELL_PARAMETERS angstrom
1.422 -1.951 0.000
1.422 1.951 0.000
0.000 0.000 7.599
ATOMIC_POSITIONS angstrom
Mn 0.000 0.000 0.000
Be 1.422 0.000 1.744
Be 1.422 0.000 5.855
Zn 0.000 0.000 3.800

***

Record 4
! BRhI2O, relaxed, DFT PBE; values from VASP
! * E above lowest polymorph: 0.0000 eV/atom
&SYSTEM
  ibrav = 0, nat = 5, ntyp = 4
/
ATOMIC_SPECIES
B 10.81 B.upf
Rh 102.91 Rh.upf
I 126.90 I.upf
O 16.00 O.upf
CELL_PARAMETERS angstrom
5.399 0.000 0.000
0.000 5.399 0.000
0.000 0.000 2.952
ATOMIC_POSITIONS angstrom
B 0.000 0.000 0.000
Rh 2.699 2.699 1.476
I 0.000 2.699 0.000
I 2.699 0.000 0.000
O 0.000 0.000 1.476

***

Record 5
! Cs7Br3O2, relaxed, DFT PBE; values from VASP
! * E above lowest polymorph: 0.0121 eV/atom
&SYSTEM
  ibrav = 0, nat = 12, ntyp = 3
/
ATOMIC_SPECIES
Cs 132.91 Cs.upf
Br 79.90 Br.upf
O 16.00 O.upf
CELL_PARAMETERS angstrom
2.983 -14.602 0.000
2.983 14.602 0.000
0.000 0.000 5.820
ATOMIC_POSITIONS angstrom
Cs 0.000 0.000 0.000
Cs 2.983 11.736 2.910
Cs 2.983 8.906 0.000
Cs 2.983 2.845 0.000
Cs 2.983 -2.845 0.000
Cs 2.983 -8.906 0.000
Cs 2.983 -11.736 2.910
Br 2.983 5.259 2.910
Br 2.983 0.000 2.910
Br 2.983 -5.259 2.910
O 2.983 11.585 0.000
O 2.983 -11.585 0.000

***

Record 6
! Pr11Y9Er4, relaxed, DFT PBE; values from VASP
! * total DFT energy (no corrections): -5.3274 eV per atom
&SYSTEM
  ibrav = 0, nat = 24, ntyp = 3
/
ATOMIC_SPECIES
Pr 140.91 Pr.upf
Y 88.91 Y.upf
Er 167.26 Er.upf
CELL_PARAMETERS angstrom
8.568 -12.983 0.000
8.568 12.983 0.000
0.000 0.000 3.684
ATOMIC_POSITIONS angstrom
Pr 0.000 0.000 0.000
Pr 3.849 4.700 0.000
Pr 8.568 8.823 0.000
Pr 5.032 0.000 0.000
Pr 8.568 3.405 0.000
Pr 3.849 -4.700 0.000
Pr 13.287 4.700 0.000
Pr 8.568 -3.405 0.000
Pr 12.104 0.000 0.000
Pr 8.568 -8.823 0.000
Pr 13.287 -4.700 0.000
Y 2.426 1.887 1.842
Y 6.820 6.028 1.842
Y 2.426 -1.887 1.842
Y 10.317 6.028 1.842
Y 8.568 0.000 1.842
Y 6.820 -6.028 1.842
Y 14.710 1.887 1.842
Y 10.317 -6.028 1.842
Y 14.710 -1.887 1.842
Er 5.876 2.645 1.842
Er 5.876 -2.645 1.842
Er 11.260 2.645 1.842
Er 11.260 -2.645 1.842